Record 1
The following is a DFT calculation (PBE) of a relaxed Ce6YS12 crystal.

Cell lengths 8.0322, 8.0322, 8.0322 Å; angles 99.70, 99.70, 99.70 degrees
Each line ends with the local moment (μB).
Positions (direct):
S  0.4190  0.5673  0.8226  -0.03
S  0.0552  0.9346  0.6753  -0.02
S  0.5810  0.4327  0.1774  -0.03
S  0.4327  0.1774  0.5810  -0.03
S  0.1774  0.5810  0.4327  -0.03
S  0.3247  0.9448  0.0654  -0.02
S  0.8226  0.4190  0.5673  -0.03
S  0.9346  0.6753  0.0552  -0.02
S  0.9448  0.0654  0.3247  -0.02
S  0.5673  0.8226  0.4190  -0.03
S  0.6753  0.0552  0.9346  -0.02
S  0.0654  0.3247  0.9448  -0.02
Y  0.0000  0.0000  0.0000  0.00
Ce  0.3818  0.8647  0.6990  0.56
Ce  0.3010  0.6182  0.1353  0.56
Ce  0.8647  0.6990  0.3818  0.56
Ce  0.1353  0.3010  0.6182  0.56
Ce  0.6990  0.3818  0.8647  0.56
Ce  0.6182  0.1353  0.3010  0.56

M_tot = 3.125 μB/f.u.
DOS at the Fermi energy = 29.81 states/eV per cell
total DFT energy (no corrections) = -6.75 eV per atom
formation energy (no corrections) = -1926.8 meV per atom

***

Record 2
The following is a DFT calculation (PBE) of a relaxed Ce3Y2S8 crystal.

Cell lengths 7.1222, 8.1155, 8.1155 Å; angles 61.01, 71.28, 71.28 degrees
Each line ends with the local moment (μB).
Positions (direct):
S  0.8096  0.6306  0.6306  -0.02
S  0.2447  0.8835  0.8835  -0.02
S  0.7775  0.0999  0.6442  -0.01
S  0.7553  0.1165  0.1165  -0.02
S  0.1904  0.3694  0.3694  -0.02
S  0.2225  0.3558  0.9001  -0.01
S  0.7775  0.6442  0.0999  -0.01
S  0.2225  0.9001  0.3558  -0.01
Ce  0.0000  0.2567  0.7433  0.61
Ce  0.5000  0.0000  0.0000  0.83
Ce  0.0000  0.7433  0.2567  0.61
Y  0.0424  0.7426  0.7426  0.00
Y  0.9576  0.2574  0.2574  0.00

M_tot = 2.033 μB/f.u.
DOS at the Fermi energy = 14.86 states/eV per cell
total DFT energy (no corrections) = -6.85 eV per atom
formation energy (no corrections) = -1947.5 meV per atom

***

Record 3
The following is a DFT calculation (PBE) of a relaxed CeYS3 crystal.

Cell lengths 3.9829, 7.4037, 15.2906 Å; angles 90.00, 90.00, 90.00 degrees
Each line ends with the local moment (μB).
Positions (direct):
Ce  0.2500  0.1393  0.2034  0.84
Ce  0.2500  0.6393  0.2966  0.84
Ce  0.7500  0.3607  0.7034  0.84
Ce  0.7500  0.8607  0.7966  0.84
S  0.2500  0.1491  0.7820  -0.02
S  0.7500  0.9889  0.6059  -0.01
S  0.7500  0.6253  0.4356  -0.01
S  0.2500  0.0111  0.3941  -0.01
S  0.2500  0.6491  0.7180  -0.02
S  0.7500  0.3509  0.2820  -0.02
S  0.2500  0.5111  0.1059  -0.01
S  0.2500  0.3747  0.5644  -0.01
S  0.7500  0.1253  0.0644  -0.01
S  0.7500  0.8509  0.2180  -0.02
S  0.2500  0.8747  0.9356  -0.01
S  0.7500  0.4889  0.8941  -0.01
Y  0.2500  0.7669  0.5435  0.01
Y  0.2500  0.2669  0.9565  0.01
Y  0.7500  0.2331  0.4565  0.01
Y  0.7500  0.7331  0.0435  0.01

M_tot = 0.924 μB/f.u.
DOS at the Fermi energy = 23.33 states/eV per cell
relative energy among the computed polymorphs = 0.00 kJ/mol of atoms
total DFT energy (no corrections) = -7.01 eV per atom
formation energy (no corrections) = -2052.2 meV per atom

***

Record 4
The following is a DFT calculation (PBE) of a relaxed CeYS3 crystal.

Cell lengths 6.7970, 9.5329, 9.5437 Å; angles 130.95, 90.00, 90.00 degrees
Each line ends with the local moment (μB).
Positions (direct):
Ce  0.2714  0.9515  0.2991  0.86
Ce  0.2286  0.4515  0.7991  0.86
Ce  0.7286  0.0485  0.7009  0.86
Ce  0.7714  0.5485  0.2009  0.86
Y  0.7485  0.0743  0.1756  0.01
Y  0.7515  0.5743  0.6756  0.01
Y  0.2515  0.9257  0.8244  0.01
Y  0.2485  0.4257  0.3244  0.01
S  0.5205  0.2146  0.0467  -0.01
S  0.4795  0.7854  0.9533  -0.01
S  0.7841  0.4065  0.8385  -0.02
S  0.2841  0.0935  0.6615  -0.02
S  0.0205  0.2854  0.4533  -0.01
S  0.2159  0.5935  0.1615  -0.02
S  0.7159  0.9065  0.3385  -0.02
S  0.5209  0.7030  0.5363  -0.01
S  0.0209  0.7970  0.9637  -0.01
S  0.9791  0.2030  0.0363  -0.01
S  0.4791  0.2970  0.4637  -0.01
S  0.9795  0.7146  0.5467  -0.01

M_tot = 0.931 μB/f.u.
DOS at the Fermi energy = 23.84 states/eV per cell
relative energy among the computed polymorphs = 4.48 kJ/mol of atoms
total DFT energy (no corrections) = -6.96 eV per atom
formation energy (no corrections) = -2005.7 meV per atom

***

Record 5
The following is a DFT calculation (PBE) of a relaxed Ce2Y3S4 crystal.

Cell lengths 3.9010, 6.7802, 8.8791 Å; angles 74.82, 77.31, 73.28 degrees
Each line ends with the local moment (μB).
Positions (direct):
S  0.6027  0.6971  0.0975  0.00
S  0.1967  0.9011  0.7056  -0.01
S  0.8033  0.0989  0.2944  -0.01
S  0.3973  0.3029  0.9025  0.00
Y  0.0000  0.0000  0.0000  -0.01
Y  0.2058  0.3924  0.1959  0.03
Y  0.7942  0.6076  0.8041  0.03
Ce  0.5982  0.2088  0.5948  0.83
Ce  0.4018  0.7912  0.4052  0.83

M_tot = 2.154 μB/f.u.
DOS at the Fermi energy = 13.41 states/eV per cell
total DFT energy (no corrections) = -7.04 eV per atom
formation energy (no corrections) = -1734.1 meV per atom

***

Record 6
The following is a DFT calculation (PBE) of a relaxed CeY3S6 crystal.

Cell lengths 3.9913, 11.1038, 11.3643 Å; angles 71.36, 90.00, 90.00 degrees
Each line ends with the local moment (μB).
Positions (direct):
Ce  0.7500  0.0481  0.8068  0.89
Ce  0.2500  0.9519  0.1932  0.89
S  0.2500  0.0826  0.5954  -0.01
S  0.2500  0.1935  0.2502  -0.01
S  0.7500  0.1162  0.0373  -0.02
S  0.7500  0.8065  0.7498  -0.01
S  0.2500  0.5217  0.1122  0.00
S  0.7500  0.3953  0.4400  0.00
S  0.2500  0.8838  0.9627  -0.02
S  0.7500  0.9174  0.4046  -0.01
S  0.2500  0.6047  0.5600  0.00
S  0.7500  0.7381  0.2271  -0.01
S  0.2500  0.2619  0.7729  -0.01
S  0.7500  0.4783  0.8878  0.00
Y  0.7500  0.6806  0.9988  0.00
Y  0.2500  0.3194  0.0012  0.00
Y  0.7500  0.4390  0.6673  0.01
Y  0.7500  0.1603  0.4143  0.01
Y  0.2500  0.8397  0.5857  0.01
Y  0.2500  0.5610  0.3327  0.01

M_tot = 0.966 μB/f.u.
DOS at the Fermi energy = 13.42 states/eV per cell
total DFT energy (no corrections) = -7.08 eV per atom
formation energy (no corrections) = -2070.0 meV per atom

***

Record 7
The following is a DFT calculation (PBE) of a relaxed CeYS4 crystal.

Cell lengths 4.1646, 6.3543, 6.3543 Å; angles 90.22, 90.00, 90.00 degrees
Positions (direct):
S  0.0000  0.8011  0.8011
S  0.5000  0.3045  0.6955
S  0.0000  0.1989  0.1989
S  0.5000  0.6955  0.3045
Ce  0.0000  0.5000  0.5000
Y  0.5000  0.0000  0.0000

M_tot = 0.000 μB/f.u.
DOS at the Fermi energy = 6.34 states/eV per cell
relative energy among the computed polymorphs = 0.00 kJ/mol of atoms
total DFT energy (no corrections) = -6.30 eV per atom
formation energy (no corrections) = -1478.9 meV per atom

***

Record 8
The following is a DFT calculation (PBE) of a relaxed Ce2YS6 crystal.

Cell lengths 4.2728, 7.2571, 7.2571 Å; angles 120.00, 90.00, 90.00 degrees
Positions (direct):
S  0.7550  0.7006  0.0813
S  0.7550  0.9187  0.6192
S  0.2450  0.2994  0.9187
S  0.7550  0.3808  0.2994
S  0.2450  0.6192  0.7006
S  0.2450  0.0813  0.3808
Ce  0.7410  0.3333  0.6667
Ce  0.2590  0.6667  0.3333
Y  0.5000  0.0000  0.0000

M_tot = 0.000 μB/f.u.
DOS at the Fermi energy = 6.78 states/eV per cell
total DFT energy (no corrections) = -6.41 eV per atom
formation energy (no corrections) = -1619.5 meV per atom